First-principles (PBE) data for a relaxed Rb2MgFe crystal, as listed in Alexandria via LeMat-Bulk. Values from VASP.

Energy of formation from the pure elements (eV/atom): 0.85
DOS(E_F) (states/eV per atom): 1.7965
Uncorrected energy (eV for the cell shown): -17.18
Crystal system: tetragonal

The structure in Quantum ESPRESSO input format:
```
&SYSTEM
  ibrav = 0, nat = 8, ntyp = 3
/
ATOMIC_SPECIES
Rb 85.47 Rb.upf
Mg 24.30 Mg.upf
Fe 55.84 Fe.upf
CELL_PARAMETERS angstrom
-6.456 6.456 2.611
6.456 -6.456 2.611
6.456 6.456 -2.611
ATOMIC_POSITIONS crystal
Rb 0.375 0.211 0.336
Rb 0.789 0.125 0.164
Rb 0.875 0.039 0.664
Rb 0.961 0.625 0.836
Mg 0.250 0.750 0.500
Mg 0.500 0.500 0.000
Fe 0.000 0.000 0.000
Fe 0.750 0.250 0.500
```